Arrangement w

Crystalline DyCuPdRh at its relaxed geometry. Source: Alexandria via LeMat-Bulk, functional PBE.

```
4
Lattice="0.0000 3.2338 3.2338 3.2338 0.0000 3.2338 3.2338 3.2338 0.0000" Properties=species:S:1:pos:R:3 pbc="T T T"
Dy 0.0000 0.0000 0.0000
Cu 3.2338 3.2338 3.2338
Pd 4.8506 4.8506 4.8506
Rh 1.6169 1.6169 1.6169
```

The total magnetization comes out at 0.00 μB/cell.

Arrangement x

Crystalline DyCuPdRh at its relaxed geometry. Source: Alexandria via LeMat-Bulk, functional PBE.

```
4
Lattice="3.8318 0.0000 0.0000 0.0000 4.1031 0.0000 0.0000 0.0000 4.2246" Properties=species:S:1:pos:R:3 pbc="T T T"
Dy 0.0000 0.0000 0.0000
Cu 0.0000 2.0515 2.1123
Pd 1.9159 0.0000 2.1123
Rh 1.9159 2.0515 0.0000
```

The total magnetization comes out at 0.00 μB/cell.

The winner here is arrangement x, beating the second structure by 0.087 eV/atom.

Arrangement w

Crystalline SmDyCuPd at its relaxed geometry. Source: Alexandria via LeMat-Bulk, functional PBE.

```
4
Lattice="0.0000 3.5328 3.5328 3.5328 0.0000 3.5328 3.5328 3.5328 0.0000" Properties=species:S:1:pos:R:3 pbc="T T T"
Sm 0.0000 0.0000 0.0000
Dy 3.5328 3.5328 3.5328
Cu 5.2991 5.2991 5.2991
Pd 1.7664 1.7664 1.7664
```

The total magnetization comes out at 0.00 μB/cell.

Arrangement x

Crystalline SmDyCuPd at its relaxed geometry. Source: Alexandria via LeMat-Bulk, functional PBE.

```
4
Lattice="4.5868 0.0000 0.0000 0.0000 1.8932 5.2585 0.0000 -1.8932 5.2585" Properties=species:S:1:pos:R:3 pbc="T T T"
Sm 0.0000 0.0000 0.0000
Dy 2.2934 0.0000 7.6006
Cu 0.0000 0.0000 2.9669
Pd 2.2934 0.0000 4.5894
```

The total magnetization comes out at 0.00 μB/cell.

The winner here is arrangement x, beating the second structure by 0.037 eV/atom.

Arrangement w

Crystalline DyTmCuPd at its relaxed geometry. Source: Alexandria via LeMat-Bulk, functional PBE.

```
4
Lattice="0.0000 3.4692 3.4692 3.4692 0.0000 3.4692 3.4692 3.4692 0.0000" Properties=species:S:1:pos:R:3 pbc="T T T"
Dy 0.0000 0.0000 0.0000
Tm 3.4692 3.4692 3.4692
Cu 1.7346 1.7346 1.7346
Pd 5.2038 5.2038 5.2038
```

The total magnetization comes out at 0.00 μB/cell.

Arrangement x

Crystalline DyTmCuPd at its relaxed geometry. Source: Alexandria via LeMat-Bulk, functional PBE.

```
4
Lattice="4.5353 0.0000 0.0000 0.0000 1.8448 5.1762 0.0000 -1.8448 5.1762" Properties=species:S:1:pos:R:3 pbc="T T T"
Dy 0.0000 0.0000 0.0000
Tm 2.2676 0.0000 7.4762
Cu 0.0000 0.0000 2.9101
Pd 2.2676 0.0000 4.5434
```

The total magnetization comes out at 0.00 μB/cell.

The winner here is arrangement x, beating the second structure by 0.029 eV/atom.

Arrangement w

Crystalline DyYCuPd at its relaxed geometry. Source: Alexandria via LeMat-Bulk, functional PBE.

```
4
Lattice="4.5374 0.0000 0.0000 0.0000 1.8681 5.2416 0.0000 -1.8681 5.2416" Properties=species:S:1:pos:R:3 pbc="T T T"
Dy 0.0000 0.0000 0.0000
Y 2.2687 0.0000 7.5755
Cu 0.0000 0.0000 2.9728
Pd 2.2687 0.0000 4.6158
```

The total magnetization comes out at 0.00 μB/cell.

Arrangement x

Crystalline DyYCuPd at its relaxed geometry. Source: Alexandria via LeMat-Bulk, functional PBE.

```
4
Lattice="0.0000 3.4995 3.4995 3.4995 0.0000 3.4995 3.4995 3.4995 0.0000" Properties=species:S:1:pos:R:3 pbc="T T T"
Dy 0.0000 0.0000 0.0000
Y 3.4995 3.4995 3.4995
Cu 5.2493 5.2493 5.2493
Pd 1.7498 1.7498 1.7498
```

The total magnetization comes out at 0.00 μB/cell.

The winner here is arrangement w, beating the second structure by 0.035 eV/atom.